A relaxed structure of VCrCuO4, computed with PBE+U.

Computed properties:
Fermi-level density of states	1.46	states/eV/f.u.
raw total energy	-7.17	eV per atom

Cell: 6.0197 6.0414 8.4095 Å, 90.00 90.00 90.00°
Closest atoms and distances in Å follow each position.
Space group Imma (No. 74)
Symmetry-distinct sites (fractional):
V (0.2500, 0.2500, 0.2500)  6 O 1.96-2.02
Cr (0.0000, 0.0000, 0.0000)  6 O 2.02-2.04
Cu (0.0000, 0.2500, 0.6237)  4 O 2.03-2.04
O (0.0000, 0.0281, 0.2399)  2 V 2.02, 1 Cr 2.02, 1 Cu 2.03
O (0.2254, 0.2500, 0.0181)  1 V 1.96, 2 Cr 2.04, 1 Cu 2.04